First-principles (SCAN) data for a PBEsol-optimized structure of MnCoS2Cl, as listed in the Alexandria database.

Properties
DFT total energy, eV/atom: -12.45

Cell: 4.529 4.529 4.491 Å, 90.00 90.00 90.00°
Fractional coordinates of all 5 atoms:
Mn  0.000  0.000  0.000
Co  0.500  0.500  0.500
S  0.000  0.500  0.000
S  0.500  0.000  0.000
Cl  0.000  0.000  0.500